# SiPN | the Alexandria database | PBE | optimized geometry
# Formation energy without anion corrections (meV per atom): -73
# Calculated density (g/cm3): 3.60
data_SiPN
_chemical_formula_sum 'Si1 P1 N1'
_cell_length_a 2.590
_cell_length_b 2.590
_cell_length_c 5.022
_cell_angle_alpha 90.00
_cell_angle_beta 90.00
_cell_angle_gamma 90.00
_space_group_name_H-M_alt 'P 1'
_space_group_IT_number 1
_space_group_name_Hall 'P 1'
loop_
_atom_site_label
_atom_site_type_symbol
_atom_site_fract_x
_atom_site_fract_y
_atom_site_fract_z
Si1 Si 0.000 0.000 0.000
P1 P 0.000 0.000 0.500
N1 N 0.500 0.500 0.000

=====

# Si3PN | the Alexandria database | PBE | optimized geometry
# Formation energy without anion corrections (meV per atom): 795
# Calculated density (g/cm3): 3.16
data_Si3PN
_chemical_formula_sum 'Si3 P1 N1'
_cell_length_a 4.079
_cell_length_b 4.079
_cell_length_c 4.079
_cell_angle_alpha 90.00
_cell_angle_beta 90.00
_cell_angle_gamma 90.00
_space_group_name_H-M_alt 'P 1'
_space_group_IT_number 1
_space_group_name_Hall 'P 1'
loop_
_atom_site_label
_atom_site_type_symbol
_atom_site_fract_x
_atom_site_fract_y
_atom_site_fract_z
Si1 Si 0.000 0.000 0.500
Si2 Si 0.000 0.500 0.000
Si3 Si 0.500 0.000 0.000
P1 P 0.500 0.500 0.500
N1 N 0.000 0.000 0.000